Entry 1:
Density functional theory data (SCAN) for a PBEsol-optimized structure of Zn2CuAs2O8.

Properties
Fermi-level density of states, states/eV/f.u.: 0.00
Formation energy (no corrections), meV per atom: -1391
E, eV per formula unit: -150.5
V, Å³/cell: 156.9
Space-group type: P-1, No. 2

Cell: 5.0935 5.3106 6.7271 Å, 69.34 86.85 67.74°
Site moments in Bohr magnetons follow the coordinates.
Fractional positions:
Zn  0.2321  0.2615  0.1866  0.01
Zn  0.7679  0.7385  0.8134  0.01
Cu  0.5000  0.5000  0.5000  0.71
As  0.8666  0.8568  0.2763  0.00
As  0.1334  0.1432  0.7237  0.00
O  0.2663  0.2979  0.4890  0.06
O  0.7337  0.7021  0.5110  0.06
O  0.3682  0.7990  0.8501  0.01
O  0.6318  0.2010  0.1499  0.01
O  0.0890  0.3492  0.8797  0.00
O  0.1880  0.8714  0.3353  0.07
O  0.8120  0.1286  0.6647  0.07
O  0.9110  0.6508  0.1203  0.00

Entry 2:
Density functional theory data (SCAN) for a PBEsol-optimized structure of ZnCuAsO5.

Properties
Formation energy (no corrections), meV per atom: -1182
E, eV per formula unit: -89.5
V, Å³/cell: 425.7
Space-group type: Pnnm, No. 58

Cell: 5.7603 8.5143 8.6803 Å, 90.00 90.00 90.00°
Fractional positions:
Zn  0.0000  0.8498  0.3889
Zn  0.0000  0.1502  0.6111
Zn  0.5000  0.3498  0.1111
Zn  0.5000  0.6502  0.8889
Cu  0.7466  0.0000  0.0000
Cu  0.2534  0.0000  0.0000
Cu  0.7534  0.5000  0.5000
Cu  0.2466  0.5000  0.5000
As  0.0000  0.7700  0.7536
As  0.0000  0.2300  0.2464
As  0.5000  0.2700  0.7464
As  0.5000  0.7300  0.2536
O  0.0000  0.9066  0.6092
O  0.0000  0.0934  0.3908
O  0.5000  0.4066  0.8908
O  0.5000  0.5934  0.1092
O  0.0000  0.8726  0.9317
O  0.0000  0.1274  0.0683
O  0.5000  0.3726  0.5683
O  0.5000  0.6274  0.4317
O  0.7591  0.6575  0.7468
O  0.2409  0.3425  0.2532
O  0.7591  0.3425  0.2532
O  0.7409  0.1575  0.7532
O  0.2409  0.6575  0.7468
O  0.2591  0.8425  0.2468
O  0.7409  0.8425  0.2468
O  0.2591  0.1575  0.7532
O  0.0000  0.6166  0.4338
O  0.0000  0.3834  0.5662
O  0.5000  0.1166  0.0662
O  0.5000  0.8834  0.9338

Entry 3:
Density functional theory data (SCAN) for a PBEsol-optimized structure of CuAsOs3.

Properties
Fermi-level density of states, states/eV/f.u.: 2.47
E, eV per formula unit: -241.8
Offset from the most stable computed form, eV/f.u.: 0.00
V, Å³/cell: 88.7
Energy of formation, eV/atom: 1.8423
Space-group type: Pm-3m, No. 221

Cell: 4.4605 4.4605 4.4605 Å, 90.00 90.00 90.00°
Site moments in Bohr magnetons follow the coordinates.
Fractional positions:
As  0.0000  0.0000  0.0000  -0.01
Os  0.0000  0.5000  0.0000  0.56
Os  0.0000  0.0000  0.5000  0.56
Os  0.5000  0.0000  0.0000  0.56
Cu  0.5000  0.5000  0.5000  0.17

Which value of V does entry 3 give?
88.7 Å³/cell

Which of these has the highest V?
ZnCuAsO5

The lowest E belongs to which entry?
CuAsOs3

Number 2 is which compound?
ZnCuAsO5